Entry 1:
DFT (meta-GGA SCAN) results for ZnRe2Os at its PBEsol-relaxed geometry.

Properties
Magnetic moment (μB/f.u.): 0.0
Calculated density (kg/m³): 18278
V (Å³/cell): 57.1
Raw total energy (eV/cell): -227.1
Calculated formation energy (eV/atom): 0.123
Crystal system: trigonal

The structure in POSCAR format:
```
ZnRe2Os
1.0
2.726 0.000 0.000
1.363 2.361 0.000
1.363 0.787 8.865
Zn Re Os
1 2 1
direct
0.500 0.500 0.500
0.251 0.251 0.246
0.749 0.749 0.754
0.000 0.000 0.000
```


Entry 2:
DFT (meta-GGA SCAN) results for Zn2ReOs at its PBEsol-relaxed geometry.

Properties
Magnetic moment (μB/f.u.): 0.0
Calculated density (kg/m³): 15165
V (Å³/cell): 55.5
Raw total energy (eV/cell): -170.0
Calculated formation energy (eV/atom): 0.011
Crystal system: tetragonal

The structure in POSCAR format:
```
Zn2ReOs
1.0
-0.179 -0.243 2.833
-2.644 -1.029 -0.255
2.510 -6.354 -0.387
Os Re Zn
1 1 2
direct
0.000 0.000 0.504
0.500 0.500 0.742
0.500 0.500 0.248
0.000 0.000 0.006
```


Entry 3:
DFT (meta-GGA SCAN) results for ZnRe2Os at its PBEsol-relaxed geometry.

Properties
Magnetic moment (μB/f.u.): 0.0
Calculated density (kg/m³): 18256
V (Å³/cell): 57.1
Raw total energy (eV/cell): -225.7
Calculated formation energy (eV/atom): 0.478
Crystal system: tetragonal

The structure in POSCAR format:
```
ZnRe2Os
1.0
-1.225 2.459 -0.224
-3.104 -1.802 -2.801
-2.645 -0.993 3.570
Os Re Zn
1 2 1
direct
0.500 0.000 0.000
0.000 0.500 0.000
0.000 0.000 0.500
0.500 0.500 0.500
```


Entry 4:
DFT (meta-GGA SCAN) results for Zn2ReOs at its PBEsol-relaxed geometry.

Properties
Magnetic moment (μB/f.u.): 0.0
Calculated density (kg/m³): 15134
V (Å³/cell): 55.7
Raw total energy (eV/cell): -169.1
Calculated formation energy (eV/atom): 0.222
Crystal system: monoclinic

The structure in POSCAR format:
```
Zn2ReOs
1.0
-0.427 -1.905 -1.932
2.359 -2.030 3.433
-4.372 -0.565 1.523
Os Zn Re
1 2 1
direct
0.500 0.000 0.000
0.249 0.497 0.248
0.751 0.503 0.752
0.000 0.000 0.500
```


Entry 5:
DFT (meta-GGA SCAN) results for Zn2ReOs at its PBEsol-relaxed geometry.

Properties
Magnetic moment (μB/f.u.): 0.0
Calculated density (kg/m³): 15608
V (Å³/cell): 54.0
Raw total energy (eV/cell): -167.8
Calculated formation energy (eV/atom): 0.557
Crystal system: tetragonal

The structure in POSCAR format:
```
Zn2ReOs
1.0
-1.150 -0.377 -2.738
-1.441 -2.449 0.943
-4.744 3.378 1.527
Zn Os Re
2 1 1
direct
0.000 0.000 0.244
0.000 0.000 0.756
0.500 0.500 0.000
0.500 0.500 0.500
```


Entry 6:
DFT (meta-GGA SCAN) results for ZrReOs2 at its PBEsol-relaxed geometry.

Properties
Magnetic moment (μB/f.u.): 0.0
Calculated density (kg/m³): 17486
V (Å³/cell): 62.5
Raw total energy (eV/cell): -245.5
Calculated formation energy (eV/atom): 0.017
Crystal system: tetragonal

The structure in POSCAR format:
```
ZrReOs2
1.0
-1.058 1.455 2.369
-3.066 -3.337 0.681
2.991 -2.200 2.687
Os Re Zr
2 1 1
direct
0.000 0.000 0.500
0.000 0.500 0.000
0.500 0.500 0.500
0.500 0.000 0.000
```